Entry 1:
! Na3Tl2Pb3 | Alexandria via LeMat-Bulk | PBE | relaxed; values from VASP
&SYSTEM
  ibrav = 0, nat = 8, ntyp = 3
/
ATOMIC_SPECIES
Na 22.99 Na.upf
Tl 204.38 Tl.upf
Pb 207.20 Pb.upf
CELL_PARAMETERS angstrom
9.9408 -2.4371 0.0000
9.9408 2.4371 0.0000
-1.2199 0.0000 4.7859
ATOMIC_POSITIONS crystal
Na 0.0000 0.0000 0.0000
Na 0.1262 0.1262 0.6276
Na 0.8738 0.8738 0.3724
Tl 0.2476 0.2476 0.2479
Tl 0.7524 0.7524 0.7521
Pb 0.3772 0.3772 0.8762
Pb 0.5000 0.5000 0.5000
Pb 0.6228 0.6228 0.1238
! Relative energy among the computed polymorphs   0.000 eV/atom
! ΔE_f   -113 meV/atom
! Size of the total moment   0.0 μB per formula unit
! DOS at the Fermi energy   4.019 states/eV/cell
! Symmetry   C2/m (12)

Entry 2:
! NaTl2Pb | Alexandria via LeMat-Bulk | PBE | relaxed; values from VASP
&SYSTEM
  ibrav = 0, nat = 4, ntyp = 3
/
ATOMIC_SPECIES
Na 22.99 Na.upf
Tl 204.38 Tl.upf
Pb 207.20 Pb.upf
CELL_PARAMETERS angstrom
2.2798 1.3162 7.5248
-2.2798 1.3162 7.5248
0.0000 -2.6325 7.5248
ATOMIC_POSITIONS crystal
Na 0.0000 0.0000 0.0000
Tl 0.4227 0.4227 0.4227
Tl 0.5799 0.5799 0.5799
Pb 0.1699 0.1699 0.1699
! Relative energy among the computed polymorphs   0.112 eV/atom
! ΔE_f   25 meV/atom
! Size of the total moment   0.0 μB per formula unit
! DOS at the Fermi energy   1.476 states/eV/cell
! Symmetry   R3m (160)

Entry 3:
! NaTlPb | Alexandria via LeMat-Bulk | PBE | relaxed; values from VASP
&SYSTEM
  ibrav = 0, nat = 6, ntyp = 3
/
ATOMIC_SPECIES
Na 22.99 Na.upf
Tl 204.38 Tl.upf
Pb 207.20 Pb.upf
CELL_PARAMETERS angstrom
3.6375 0.0000 0.0000
0.0000 4.7205 0.0000
0.0000 0.0000 10.2327
ATOMIC_POSITIONS crystal
Na 0.0000 0.0000 0.0000
Na 0.0000 0.0000 0.3333
Tl 0.0000 0.0000 0.6686
Tl 0.5000 0.5000 0.5026
Pb 0.5000 0.5000 0.1641
Pb 0.5000 0.5000 0.8320
! ΔE_f   -86 meV/atom
! Size of the total moment   0.0 μB per formula unit
! DOS at the Fermi energy   2.971 states/eV/cell
! Symmetry   Pmm2 (25)

Entry 4:
! NaTl7Pb2 | Alexandria via LeMat-Bulk | PBE | relaxed; values from VASP
&SYSTEM
  ibrav = 0, nat = 10, ntyp = 3
/
ATOMIC_SPECIES
Na 22.99 Na.upf
Tl 204.38 Tl.upf
Pb 207.20 Pb.upf
CELL_PARAMETERS angstrom
5.4140 0.0000 0.0000
-2.7070 4.6886 0.0000
0.0000 0.0000 12.7724
ATOMIC_POSITIONS crystal
Na 0.0000 0.0000 0.0000
Tl 0.0000 0.0000 0.3120
Tl 0.0000 0.0000 0.7099
Tl 0.3333 0.6667 0.1067
Tl 0.3333 0.6667 0.5154
Tl 0.6667 0.3333 0.1520
Tl 0.6667 0.3333 0.6418
Tl 0.6667 0.3333 0.8983
Pb 0.3333 0.6667 0.8168
Pb 0.6667 0.3333 0.3940
! ΔE_f   40 meV/atom
! Size of the total moment   0.0 μB per formula unit
! DOS at the Fermi energy   5.275 states/eV/cell
! Symmetry   P3m1 (156)

Entry 5:
! NaTl4Pb | Alexandria via LeMat-Bulk | PBE | relaxed; values from VASP
&SYSTEM
  ibrav = 0, nat = 6, ntyp = 3
/
ATOMIC_SPECIES
Na 22.99 Na.upf
Tl 204.38 Tl.upf
Pb 207.20 Pb.upf
CELL_PARAMETERS angstrom
0.0000 4.5855 4.5855
4.5855 0.0000 4.5855
4.5855 4.5855 0.0000
ATOMIC_POSITIONS crystal
Na 0.0000 0.0000 0.0000
Tl 0.1253 0.6249 0.6249
Tl 0.6249 0.1253 0.6249
Tl 0.6249 0.6249 0.1253
Tl 0.6249 0.6249 0.6249
Pb 0.2500 0.2500 0.2500
! Relative energy among the computed polymorphs   0.065 eV/atom
! ΔE_f   14 meV/atom
! Size of the total moment   0.0 μB per formula unit
! DOS at the Fermi energy   2.770 states/eV/cell
! Symmetry   F-43m (216)

Entry 6:
! Na2Tl9Pb4 | Alexandria via LeMat-Bulk | PBE | relaxed; values from VASP
&SYSTEM
  ibrav = 0, nat = 30, ntyp = 3
/
ATOMIC_SPECIES
Na 22.99 Na.upf
Tl 204.38 Tl.upf
Pb 207.20 Pb.upf
CELL_PARAMETERS angstrom
8.3474 0.0000 0.0000
3.8215 8.1936 0.0000
2.7157 2.3602 13.3008
ATOMIC_POSITIONS crystal
Na 0.0924 0.4744 0.3297
Na 0.2949 0.5285 0.0758
Na 0.7051 0.4715 0.9242
Na 0.9076 0.5256 0.6703
Tl 0.0975 0.8541 0.2131
Tl 0.1011 0.5239 0.8747
Tl 0.1036 0.1939 0.5434
Tl 0.2914 0.1478 0.1876
Tl 0.2992 0.4771 0.5238
Tl 0.2997 0.8056 0.8564
Tl 0.4950 0.1426 0.3871
Tl 0.4954 0.5271 0.2759
Tl 0.4974 0.8058 0.0556
Tl 0.5026 0.1942 0.9444
Tl 0.5046 0.4729 0.7241
Tl 0.5050 0.8574 0.6129
Tl 0.7003 0.1944 0.1436
Tl 0.7008 0.5229 0.4762
Tl 0.7086 0.8522 0.8124
Tl 0.8964 0.8061 0.4566
Tl 0.8989 0.4761 0.1253
Tl 0.9025 0.1459 0.7869
Pb 0.0995 0.1368 0.9904
Pb 0.1002 0.8119 0.6551
Pb 0.2993 0.8592 0.4134
Pb 0.3100 0.1860 0.7476
Pb 0.6900 0.8140 0.2524
Pb 0.7007 0.1408 0.5866
Pb 0.8998 0.1881 0.3449
Pb 0.9005 0.8632 0.0096
! ΔE_f   -37 meV/atom
! Size of the total moment   0.0 μB per formula unit
! DOS at the Fermi energy   14.014 states/eV/cell
! Symmetry   P-1 (2)